The following is a DFT calculation (PBE) of an optimized crystal structure of Hf6TcMo.

Cell: 7.9989 7.9989 7.9989 Å, 145.79 145.79 49.16°
Fractional positions:
Hf: 0.1075 0.6075 0.5000
Hf: 0.2483 0.2483 0.0000
Hf: 0.3925 0.8925 0.5000
Hf: 0.6075 0.1075 0.5000
Hf: 0.7517 0.7517 0.0000
Hf: 0.8925 0.3925 0.5000
Tc: 0.5000 0.5000 0.0000
Mo: 0.0000 0.0000 0.0000

Output
As for the spin magnetization: 0.00 μB per formula unit. As for the formation enthalpy at 0 K: -0.105 eV per atom.

---

The following is a DFT calculation (PBE) of an optimized crystal structure of Hf4Tc3Mo.

Cell: 3.2724 3.2724 13.1402 Å, 90.00 90.00 90.00°
Fractional positions:
Hf: 0.0000 0.0000 0.1232
Hf: 0.0000 0.0000 0.3698
Hf: 0.0000 0.0000 0.6302
Hf: 0.0000 0.0000 0.8768
Tc: 0.5000 0.5000 0.0000
Tc: 0.5000 0.5000 0.2492
Tc: 0.5000 0.5000 0.7508
Mo: 0.5000 0.5000 0.5000

Output
As for the spin magnetization: 0.00 μB per formula unit. As for the formation enthalpy at 0 K: -0.359 eV per atom.